YZnNF2: optimized geometry, PBE.

Values from the calculation:
Excess energy over the best structure of this formula in the dataset   47 meV/atom
E_tot   -0.204 Ha/atom
Mass density   3.9 g cm⁻³
Total magnetization   0.065 μB/atom
Formation energy from raw total energies   -1.5840 eV/atom
Space-group type   P4/mmm

Unit cell a=4.293 b=4.293 c=4.738 alpha=90.00 beta=90.00 gamma=90.00
Each line ends with the local moment (μB).
Element x y z (fractional)
1 Y 0.000 0.000 0.000  0.01
2 Zn 0.500 0.500 0.500  -0.01
3 N 0.000 0.000 0.500  0.23
4 F 0.000 0.500 0.000  0.00
5 F 0.500 0.000 0.000  0.00